## WS2O8 (PBE with a Hubbard U)

Data for crystalline WS2O8 at its relaxed geometry.

Values from the calculation:
**Volume**: 13.73 A^3/atom
**Space group**: Pbca
**E above lowest polymorph**: 0.000 eV per atom
**E_tot**: -567.6 eV per cell
**Magnetic moment**: 2.00 μB per formula unit

Geometry as POSCAR:
```
WS2O8
1.0
-3.7479 2.8477 7.9969
-8.6516 -2.4270 -3.1905
1.5934 -12.5257 5.2072
O S W
64 16 8
Direct
0.0315 0.3179 0.5151
0.7262 0.4085 0.7218
0.4939 0.7287 0.2836
0.9939 0.7713 0.2836
0.2738 0.0915 0.2218
0.9685 0.6821 0.4849
0.4770 0.5250 0.1817
0.4685 0.3179 0.0151
0.7247 0.6840 0.4247
0.4939 0.2287 0.2164
0.5230 0.4750 0.8183
0.5133 0.0059 0.8614
0.7249 0.7314 0.0996
0.7247 0.1840 0.0753
0.2002 0.0044 0.0274
0.5315 0.6821 0.9849
0.4867 0.4941 0.3614
0.4867 0.9941 0.1386
0.0133 0.4941 0.8614
0.4770 0.0250 0.3183
0.2247 0.3160 0.0753
0.7753 0.6840 0.9247
0.2751 0.7686 0.5996
0.2247 0.8160 0.4247
0.5315 0.1821 0.5151
0.0230 0.0250 0.8183
0.9770 0.4750 0.3183
0.7998 0.4956 0.5274
0.2751 0.2686 0.9004
0.5133 0.5059 0.6386
0.7262 0.9085 0.7782
0.7998 0.9956 0.9726
0.2738 0.5915 0.2782
0.9685 0.1821 0.0151
0.7738 0.4085 0.2218
0.2249 0.7686 0.0996
0.9867 0.5059 0.1386
0.0133 0.9941 0.6386
0.0230 0.5250 0.6817
0.0061 0.7287 0.7836
0.5230 0.9750 0.6817
0.4685 0.8179 0.4849
0.7002 0.9956 0.4726
0.2753 0.8160 0.9247
0.2998 0.0044 0.5274
0.7753 0.1840 0.5753
0.2002 0.5044 0.4726
0.2249 0.2686 0.4004
0.5061 0.2713 0.7164
0.9867 0.0059 0.3614
0.7738 0.9085 0.2782
0.0315 0.8179 0.9849
0.2753 0.3160 0.5753
0.7002 0.4956 0.0274
0.7751 0.2314 0.9004
0.5061 0.7713 0.7836
0.9770 0.9750 0.1817
0.9939 0.2713 0.2164
0.7249 0.2314 0.4004
0.0061 0.2287 0.7164
0.7751 0.7314 0.5996
0.2262 0.0915 0.7218
0.2998 0.5044 0.9726
0.2262 0.5915 0.7782
0.0621 0.5776 0.7814
0.9379 0.4224 0.2186
0.1872 0.3460 0.4856
0.3128 0.3460 0.9856
0.1872 0.8460 0.0144
0.3128 0.8460 0.5144
0.6872 0.1540 0.4856
0.8128 0.6540 0.5144
0.8128 0.1540 0.9856
0.5621 0.9224 0.7814
0.5621 0.4224 0.7186
0.4379 0.5776 0.2814
0.0621 0.0776 0.7186
0.6872 0.6540 0.0144
0.9379 0.9224 0.2814
0.4379 0.0776 0.2186
0.1089 0.1408 0.1269
0.8911 0.8592 0.8731
0.3911 0.6408 0.8731
0.1089 0.6408 0.3731
0.6089 0.3592 0.1269
0.3911 0.1408 0.6269
0.8911 0.3592 0.6269
0.6089 0.8592 0.3731
```